w) The following is a DFT calculation (PBE-GGA) of Ag4Se2Cl after structural relaxation.

Lattice parameters (Å, degrees): 3.893 14.158 12.047 90.00 90.00 90.00
Sites, in units of the cell vectors:
Ag 0.093 0.250 0.000
Ag 0.093 0.250 0.500
Ag 0.164 0.508 0.122
Ag 0.164 0.508 0.378
Ag 0.164 0.992 0.622
Ag 0.164 0.992 0.878
Ag 0.356 0.621 0.750
Ag 0.356 0.879 0.250
Ag 0.644 0.121 0.750
Ag 0.644 0.379 0.250
Ag 0.836 0.008 0.122
Ag 0.836 0.008 0.378
Ag 0.836 0.492 0.622
Ag 0.836 0.492 0.878
Ag 0.907 0.750 0.000
Ag 0.907 0.750 0.500
Se 0.410 0.628 0.541
Se 0.410 0.628 0.959
Se 0.410 0.872 0.041
Se 0.410 0.872 0.459
Se 0.590 0.128 0.541
Se 0.590 0.128 0.959
Se 0.590 0.372 0.041
Se 0.590 0.372 0.459
Cl 0.143 0.124 0.250
Cl 0.143 0.376 0.750
Cl 0.857 0.624 0.250
Cl 0.857 0.876 0.750

x) The following is a DFT calculation (PBE-GGA) of Ag4Se2Cl after structural relaxation.

Lattice parameters (Å, degrees): 7.956 7.956 7.959 119.81 119.81 60.02
Sites, in units of the cell vectors:
Ag 0.218 0.760 0.739
Ag 0.239 0.239 0.260
Ag 0.240 0.240 0.719
Ag 0.240 0.782 0.261
Ag 0.760 0.218 0.739
Ag 0.760 0.760 0.281
Ag 0.761 0.761 0.740
Ag 0.782 0.240 0.261
Se 0.000 0.000 0.000
Se 0.000 0.000 0.500
Se 0.000 0.500 0.500
Se 0.500 0.000 0.500
Cl 0.375 0.375 0.124
Cl 0.625 0.625 0.876

Stability, lowest: x)

w) The following is a DFT calculation (PBE-GGA) of AgSe2Cl6 after structural relaxation.

Lattice parameters (Å, degrees): 10.348 10.348 7.496 106.49 106.49 60.99
Sites, in units of the cell vectors:
Ag 0.001 0.999 0.750
Ag 0.999 0.001 0.250
Se 0.413 0.436 0.024
Se 0.436 0.413 0.524
Se 0.564 0.587 0.476
Se 0.587 0.564 0.976
Cl 0.098 0.100 0.078
Cl 0.100 0.098 0.578
Cl 0.216 0.604 0.481
Cl 0.226 0.379 0.878
Cl 0.379 0.226 0.378
Cl 0.396 0.784 0.019
Cl 0.604 0.216 0.981
Cl 0.621 0.774 0.622
Cl 0.774 0.621 0.122
Cl 0.784 0.396 0.519
Cl 0.900 0.902 0.422
Cl 0.902 0.900 0.922

x) The following is a DFT calculation (PBE-GGA) of AgSe2Cl6 after structural relaxation.

Lattice parameters (Å, degrees): 10.459 10.459 5.462 92.47 92.47 95.98
Sites, in units of the cell vectors:
Ag 0.189 0.811 0.750
Ag 0.811 0.189 0.250
Se 0.085 0.411 0.720
Se 0.411 0.085 0.220
Se 0.589 0.915 0.780
Se 0.915 0.589 0.280
Cl 0.022 0.209 0.530
Cl 0.139 0.614 0.001
Cl 0.209 0.022 0.030
Cl 0.266 0.446 0.532
Cl 0.386 0.861 0.499
Cl 0.446 0.266 0.032
Cl 0.554 0.734 0.968
Cl 0.614 0.139 0.501
Cl 0.734 0.554 0.468
Cl 0.791 0.978 0.970
Cl 0.861 0.386 0.999
Cl 0.978 0.791 0.470

Stability, lowest: w)

w) The following is a DFT calculation (PBE-GGA) of Ag4SeCl after structural relaxation.

Lattice parameters (Å, degrees): 5.590 5.590 5.590 60.00 60.00 60.00
Sites, in units of the cell vectors:
Ag 0.125 0.125 0.125
Ag 0.125 0.125 0.624
Ag 0.125 0.624 0.125
Ag 0.624 0.125 0.125
Se 0.500 0.500 0.500
Cl 0.750 0.750 0.750

x) The following is a DFT calculation (PBE-GGA) of Ag4SeCl after structural relaxation.

Lattice parameters (Å, degrees): 7.770 7.770 6.313 107.30 107.30 120.79
Sites, in units of the cell vectors:
Ag 0.001 0.608 0.226
Ag 0.181 0.207 0.269
Ag 0.207 0.181 0.769
Ag 0.392 0.999 0.274
Ag 0.608 0.001 0.726
Ag 0.793 0.819 0.231
Ag 0.819 0.793 0.731
Ag 0.999 0.392 0.774
Se 0.395 0.605 0.250
Se 0.605 0.395 0.750
Cl 0.199 0.801 0.750
Cl 0.801 0.199 0.250

y) The following is a DFT calculation (PBE-GGA) of Ag4SeCl after structural relaxation.

Lattice parameters (Å, degrees): 4.432 7.111 9.000 89.74 83.07 75.26
Sites, in units of the cell vectors:
Ag 0.092 0.297 0.032
Ag 0.168 0.272 0.375
Ag 0.210 0.018 0.612
Ag 0.380 0.684 0.405
Ag 0.620 0.316 0.595
Ag 0.790 0.982 0.388
Ag 0.832 0.728 0.625
Ag 0.908 0.703 0.968
Se 0.063 0.397 0.747
Se 0.937 0.603 0.253
Cl 0.353 0.874 0.868
Cl 0.647 0.126 0.132

Stability, lowest: w)

w) The following is a DFT calculation (PBE-GGA) of Ag2SeCl2 after structural relaxation.

Lattice parameters (Å, degrees): 4.209 7.712 8.410 94.66 104.36 105.83
Sites, in units of the cell vectors:
Ag 0.048 0.489 0.188
Ag 0.366 0.009 0.313
Ag 0.634 0.991 0.687
Ag 0.952 0.511 0.812
Se 0.389 0.250 0.751
Se 0.611 0.750 0.249
Cl 0.206 0.264 0.442
Cl 0.497 0.765 0.940
Cl 0.503 0.235 0.060
Cl 0.794 0.736 0.558

x) The following is a DFT calculation (PBE-GGA) of Ag2SeCl2 after structural relaxation.

Lattice parameters (Å, degrees): 7.852 7.852 3.449 90.00 90.00 90.00
Sites, in units of the cell vectors:
Ag 0.180 0.320 0.000
Ag 0.320 0.820 0.000
Ag 0.680 0.180 0.000
Ag 0.820 0.680 0.000
Se 0.000 0.000 0.000
Se 0.500 0.500 0.000
Cl 0.138 0.638 0.500
Cl 0.362 0.138 0.500
Cl 0.638 0.862 0.500
Cl 0.862 0.362 0.500

Stability, lowest: x)

w) The following is a DFT calculation (PBE-GGA) of Ag4SeCl2 after structural relaxation.

Lattice parameters (Å, degrees): 6.628 4.373 6.862 90.00 117.61 90.00
Sites, in units of the cell vectors:
Ag 0.000 0.000 0.000
Ag 0.115 0.000 0.608
Ag 0.492 0.500 0.559
Ag 0.622 0.500 0.051
Se 0.558 0.000 0.805
Cl 0.237 0.500 0.132
Cl 0.878 0.500 0.478

x) The following is a DFT calculation (PBE-GGA) of Ag4SeCl2 after structural relaxation.

Lattice parameters (Å, degrees): 5.891 6.760 9.990 90.00 105.73 90.00
Sites, in units of the cell vectors:
Ag 0.003 0.250 0.361
Ag 0.173 0.011 0.879
Ag 0.173 0.489 0.879
Ag 0.493 0.250 0.354
Ag 0.507 0.750 0.646
Ag 0.827 0.511 0.121
Ag 0.827 0.989 0.121
Ag 0.997 0.750 0.639
Se 0.147 0.250 0.142
Se 0.853 0.750 0.858
Cl 0.170 0.750 0.443
Cl 0.478 0.250 0.860
Cl 0.522 0.750 0.140
Cl 0.830 0.250 0.557

Stability, lowest: w)

w) The following is a DFT calculation (PBE-GGA) of AgSeCl3 after structural relaxation.

Lattice parameters (Å, degrees): 5.083 5.083 5.083 90.00 90.00 90.00
Sites, in units of the cell vectors:
Ag 0.000 0.000 0.000
Se 0.500 0.500 0.500
Cl 0.000 0.000 0.500
Cl 0.000 0.500 0.000
Cl 0.500 0.000 0.000

x) The following is a DFT calculation (PBE-GGA) of AgSeCl3 after structural relaxation.

Lattice parameters (Å, degrees): 4.331 8.310 8.340 82.72 77.63 82.14
Sites, in units of the cell vectors:
Ag 0.096 0.218 0.293
Ag 0.904 0.782 0.707
Se 0.015 0.203 0.814
Se 0.985 0.797 0.186
Cl 0.238 0.546 0.202
Cl 0.281 0.857 0.863
Cl 0.321 0.220 0.549
Cl 0.679 0.780 0.451
Cl 0.719 0.143 0.137
Cl 0.762 0.454 0.798

y) The following is a DFT calculation (PBE-GGA) of AgSeCl3 after structural relaxation.

Lattice parameters (Å, degrees): 4.314 8.353 8.757 100.71 90.73 99.89
Sites, in units of the cell vectors:
Ag 0.167 0.375 0.346
Ag 0.833 0.625 0.654
Se 0.039 0.909 0.094
Se 0.961 0.091 0.906
Cl 0.172 0.405 0.639
Cl 0.256 0.333 0.050
Cl 0.377 0.101 0.294
Cl 0.623 0.899 0.706
Cl 0.744 0.667 0.950
Cl 0.828 0.595 0.361

z) The following is a DFT calculation (PBE-GGA) of AgSeCl3 after structural relaxation.

Lattice parameters (Å, degrees): 5.108 5.108 5.108 90.00 90.00 90.00
Sites, in units of the cell vectors:
Ag 0.000 0.000 0.000
Se 0.500 0.500 0.500
Cl 0.000 0.500 0.500
Cl 0.500 0.000 0.500
Cl 0.500 0.500 0.000

Stability, lowest: w)